{"formula": "Li4FeO3F", "functional": "PBE with a Hubbard U", "state": "relaxed", "de_polymorph_kj_per_mol_atoms": 18.0, "n_ef_per_ev_cell": 0.000, "cell": [[-5.0691, 0.8585, -1.0179], [1.4477, 4.5609, 1.5683], [-2.5728, -4.4990, -9.6150]], "species": ["Li", "Li", "Li", "Li", "Li", "Li", "Li", "Li", "Fe", "Fe", "O", "O", "O", "O", "O", "O", "F", "F"], "frac_coords": [[0.7265, 0.9691, 0.9235], [0.2691, 0.4119, 0.0219], [0.2034, 0.5211, 0.8175], [0.7797, 0.3520, 0.4554], [0.2618, 0.6682, 0.5970], [0.7945, 0.5226, 0.2297], [0.7376, 0.6047, 0.0193], [0.2718, 0.0610, 0.1382], [0.6508, 0.1608, 0.6500], [0.2948, 0.8917, 0.3631], [0.0014, 0.1205, 0.8047], [0.5060, 0.5886, 0.9093], [0.9337, 0.8860, 0.6264], [0.4270, 0.3033, 0.5807], [0.0401, 0.9143, 0.2755], [0.5066, 0.4312, 0.1334], [0.5985, 0.5862, 0.4253], [0.9966, 0.0068, 0.0290]]}



{"formula": "LiFe2OF3", "functional": "PBE with a Hubbard U", "state": "relaxed", "de_polymorph_kj_per_mol_atoms": 5.3, "n_ef_per_ev_cell": 0.000, "cell": [[-4.2963, 0.7089, 4.6662], [-4.5866, -2.1151, -3.9017], [1.4119, -7.5852, 2.4523]], "species": ["Li", "Li", "Li", "Li", "Fe", "Fe", "Fe", "Fe", "Fe", "Fe", "Fe", "Fe", "O", "O", "O", "O", "F", "F", "F", "F", "F", "F", "F", "F", "F", "F", "F", "F"], "frac_coords": [[0.2543, 0.5071, 0.2480], [0.4929, 0.2543, 0.9980], [0.5071, 0.7457, 0.4980], [0.7457, 0.4929, 0.7480], [0.9992, 0.2497, 0.9876], [0.0008, 0.7503, 0.4876], [0.2249, 0.2540, 0.6576], [0.2540, 0.7751, 0.9076], [0.2497, 0.0008, 0.2376], [0.7503, 0.9992, 0.7376], [0.7460, 0.2249, 0.4076], [0.7751, 0.7460, 0.1576], [0.0583, 0.7536, 0.2325], [0.2464, 0.0583, 0.9825], [0.7536, 0.9417, 0.4825], [0.9417, 0.2464, 0.7325], [0.0185, 0.2667, 0.2571], [0.2667, 0.9815, 0.5071], [0.2475, 0.5283, 0.5056], [0.2640, 0.4812, 0.9867], [0.5188, 0.2640, 0.7367], [0.5283, 0.7525, 0.7556], [0.4717, 0.2475, 0.2556], [0.4812, 0.7360, 0.2367], [0.7360, 0.5188, 0.4867], [0.7525, 0.4717, 0.0056], [0.7333, 0.0185, 0.0071], [0.9815, 0.7333, 0.7571]]}



{"formula": "LiFeOF2", "functional": "PBE with a Hubbard U", "state": "relaxed", "de_polymorph_kj_per_mol_atoms": 5.6, "n_ef_per_ev_cell": 0.000, "cell": [[-3.3661, -3.0001, 2.4894], [4.5925, 1.4717, 2.7202], [-4.4884, 5.2648, 6.1699]], "species": ["Li", "Li", "Li", "Li", "Fe", "Fe", "Fe", "Fe", "O", "O", "O", "O", "F", "F", "F", "F", "F", "F", "F", "F"], "frac_coords": [[0.3504, 0.4175, 0.6761], [0.6461, 0.6079, 0.3229], [0.6737, 0.1413, 0.7871], [0.8806, 0.1232, 0.4287], [0.1536, 0.8758, 0.5830], [0.1322, 0.3276, 0.0972], [0.3734, 0.8927, 0.1634], [0.8394, 0.6021, 0.9291], [0.0414, 0.5525, 0.7270], [0.0651, 0.0077, 0.2212], [0.5331, 0.6308, 0.1066], [0.7638, 0.2421, 0.0442], [0.4170, 0.8562, 0.3761], [0.2519, 0.2644, 0.4812], [0.2473, 0.8065, 0.9630], [0.7672, 0.7320, 0.5389], [0.4219, 0.3699, 0.8814], [0.5552, 0.1160, 0.6110], [0.9372, 0.9677, 0.7826], [0.9496, 0.4661, 0.2792]]}



{"formula": "LiFe7O7F", "functional": "PBE with a Hubbard U", "state": "relaxed", "energy_ev_per_cell": -92.57, "cell": [[-2.3923, 2.6860, -0.1366], [0.4545, -1.8561, 3.0503], [11.9574, 10.8967, 4.8489]], "species": ["Li", "Fe", "Fe", "Fe", "Fe", "Fe", "Fe", "Fe", "O", "O", "O", "O", "O", "O", "O", "F"], "frac_coords": [[0.6683, 0.3317, 0.5000], [0.6711, 0.3289, 0.0000], [0.6606, 0.3394, 0.7463], [0.6606, 0.3394, 0.2537], [0.3362, 0.6638, 0.8721], [0.3384, 0.6616, 0.3739], [0.3362, 0.6638, 0.1279], [0.3384, 0.6616, 0.6261], [0.6666, 0.3334, 0.6227], [0.6684, 0.3316, 0.8705], [0.6666, 0.3334, 0.3773], [0.6684, 0.3316, 0.1295], [0.3263, 0.6737, 0.0000], [0.3298, 0.6702, 0.7483], [0.3298, 0.6702, 0.2517], [0.3316, 0.6684, 0.5000]]}



{"formula": "Li3Fe3OF7", "functional": "PBE with a Hubbard U", "state": "relaxed", "de_polymorph_kj_per_mol_atoms": 11.2, "cell": [[-0.4045, -1.4036, -5.9431], [4.5767, 0.8806, -3.9663], [3.1162, -4.9047, -2.1850]], "species": ["Li", "Li", "Li", "Fe", "Fe", "Fe", "O", "F", "F", "F", "F", "F", "F", "F"], "frac_coords": [[0.3813, 0.3813, 0.3446], [0.0056, 0.0056, 0.9926], [0.3693, 0.3693, 0.8921], [0.7508, 0.7508, 0.7881], [0.4127, 0.8457, 0.3626], [0.8457, 0.4127, 0.3626], [0.6010, 0.6010, 0.1501], [0.1573, 0.6247, 0.6125], [0.6247, 0.1573, 0.6125], [0.1385, 0.1385, 0.1170], [0.1140, 0.6070, 0.1340], [0.1341, 0.1341, 0.5845], [0.6070, 0.1140, 0.1340], [0.6080, 0.6080, 0.6629]]}



{"formula": "Li2FeOF3", "functional": "PBE with a Hubbard U", "state": "relaxed", "de_polymorph_kj_per_mol_atoms": 1.6, "n_ef_per_ev_cell": 0.000, "cell": [[5.9522, 0.0006, -0.0004], [2.8872, 5.2024, 0.0066], [-2.8872, -1.7617, 4.8950]], "species": ["Li", "Li", "Li", "Li", "Fe", "Fe", "O", "O", "F", "F", "F", "F", "F", "F"], "frac_coords": [[0.0000, 0.0000, 0.0000], [0.5000, 0.0000, 0.0000], [0.0927, 0.6238, 0.3762], [0.9073, 0.3762, 0.6238], [0.5000, 0.0000, 0.5000], [0.5000, 0.5000, 0.0000], [0.3045, 0.2439, 0.7561], [0.6955, 0.7561, 0.2439], [0.7511, 0.2472, 0.7528], [0.2489, 0.7528, 0.2472], [0.7450, 0.7744, 0.7506], [0.7450, 0.2494, 0.2256], [0.2550, 0.7506, 0.7744], [0.2550, 0.2256, 0.2494]]}



{"formula": "Li3Fe4O3F5", "functional": "PBE with a Hubbard U", "state": "relaxed", "de_polymorph_kj_per_mol_atoms": 0.0, "n_ef_per_ev_cell": 0.000, "cell": [[6.0895, 0.0564, 0.0626], [-2.8144, 5.2909, -0.0827], [0.2714, 3.5479, 4.9761]], "species": ["Li", "Li", "Li", "Fe", "Fe", "Fe", "Fe", "O", "O", "O", "F", "F", "F", "F", "F"], "frac_coords": [[0.4825, 0.9741, 0.0082], [0.4968, 0.0017, 0.4939], [0.4936, 0.5014, 0.4920], [0.4868, 0.5059, 0.0097], [0.0012, 0.0011, 0.0005], [0.0085, 0.0170, 0.4921], [0.0138, 0.5031, 0.4826], [0.7798, 0.9985, 0.7650], [0.2712, 0.5049, 0.2662], [0.2228, 0.0001, 0.2383], [0.7349, 0.4821, 0.2702], [0.2863, 0.0330, 0.7313], [0.7287, 0.4914, 0.7377], [0.7234, 0.9673, 0.2786], [0.2696, 0.5186, 0.7339]]}



{"formula": "LiFe8O12F4", "functional": "PBE with a Hubbard U", "state": "relaxed", "de_polymorph_kj_per_mol_atoms": 2.1, "n_ef_per_ev_cell": 4.582, "cell": [[-3.4416, 3.8613, -3.5902], [3.3939, -1.3474, -4.7025], [-3.2157, -6.8277, -4.2606]], "species": ["Li", "Fe", "Fe", "Fe", "Fe", "Fe", "Fe", "Fe", "Fe", "O", "O", "O", "O", "O", "O", "O", "O", "O", "O", "O", "O", "F", "F", "F", "F"], "frac_coords": [[0.0000, 0.6846, 0.7053], [0.0000, 0.4925, 0.0368], [0.0000, 0.0056, 0.0043], [0.5000, 0.2117, 0.0805], [0.5000, 0.7419, 0.0285], [0.0000, 0.5065, 0.4627], [0.0000, 0.0401, 0.4075], [0.5000, 0.2521, 0.4781], [0.5000, 0.7480, 0.4850], [0.0000, 0.1569, 0.1745], [0.6907, 0.4868, 0.0301], [0.6908, 0.9991, 0.0198], [0.3093, 0.4868, 0.0301], [0.8075, 0.2544, 0.4673], [0.8145, 0.7476, 0.4944], [0.3092, 0.9991, 0.0198], [0.0000, 0.8070, 0.8776], [0.5000, 0.0799, 0.3231], [0.5000, 0.4214, 0.6185], [0.1925, 0.2544, 0.4673], [0.1855, 0.7476, 0.4944], [0.0000, 0.6592, 0.2059], [0.0000, 0.3523, 0.8410], [0.5000, 0.6067, 0.2960], [0.5000, 0.9140, 0.6514]]}



{"formula": "LiFe8O12F4", "functional": "PBE with a Hubbard U", "state": "relaxed", "de_polymorph_kj_per_mol_atoms": 1.4, "n_ef_per_ev_cell": 4.955, "cell": [[-0.9436, -6.6347, 4.5325], [4.7154, -5.8618, 2.9762], [1.0019, 3.3040, 5.2840]], "species": ["Li", "Fe", "Fe", "Fe", "Fe", "Fe", "Fe", "Fe", "Fe", "O", "O", "O", "O", "O", "O", "O", "O", "O", "O", "O", "O", "F", "F", "F", "F"], "frac_coords": [[0.8704, 0.1296, 0.0000], [0.4980, 0.2522, 0.7427], [0.9913, 0.7588, 0.7427], [0.2806, 0.5416, 0.2490], [0.7271, 0.9881, 0.2513], [0.0119, 0.2729, 0.7487], [0.4584, 0.7194, 0.7510], [0.7478, 0.5020, 0.2573], [0.2412, 0.0087, 0.2573], [0.3287, 0.5897, 0.7342], [0.4833, 0.2559, 0.4388], [0.9949, 0.7443, 0.4388], [0.5223, 0.2631, 0.0528], [0.7441, 0.5167, 0.5612], [0.2557, 0.0051, 0.5612], [0.0021, 0.7833, 0.0527], [0.6686, 0.9294, 0.7610], [0.4103, 0.6713, 0.2658], [0.0706, 0.3314, 0.2390], [0.7369, 0.4777, 0.9472], [0.2167, 0.9979, 0.9473], [0.8433, 0.1042, 0.7176], [0.1500, 0.4109, 0.7739], [0.8958, 0.1567, 0.2824], [0.5891, 0.8500, 0.2261]]}



{"formula": "Li5Fe3O2F10", "functional": "PBE with a Hubbard U", "state": "relaxed", "de_polymorph_kj_per_mol_atoms": 1.8, "n_ef_per_ev_cell": 0.000, "cell": [[5.3008, -0.2354, -0.0015], [-3.0009, 4.9683, 1.0078], [-0.0015, -1.3541, 9.1454]], "species": ["Li", "Li", "Li", "Li", "Li", "Fe", "Fe", "Fe", "O", "O", "F", "F", "F", "F", "F", "F", "F", "F", "F", "F"], "frac_coords": [[0.4878, 0.2635, 0.5846], [0.5228, 0.7403, 0.1930], [0.5065, 0.6610, 0.7781], [0.0422, 0.1457, 0.3325], [0.8976, 0.2724, 0.7273], [0.2305, 0.2111, 0.9978], [0.2833, 0.7246, 0.4904], [0.9046, 0.5744, 0.9815], [0.5702, 0.4634, 0.1033], [0.1221, 0.4412, 0.9006], [0.5235, 0.9537, 0.6585], [0.9075, 0.0683, 0.1409], [0.1343, 0.5078, 0.3237], [0.6649, 0.8536, 0.3972], [0.2626, 0.8831, 0.0670], [0.2820, 0.4303, 0.6091], [0.5571, 0.3321, 0.8348], [0.8921, 0.5476, 0.5887], [0.2867, 0.0440, 0.4271], [0.9218, 0.8819, 0.8639]]}



{"formula": "Li3Fe4O3F5", "functional": "PBE with a Hubbard U", "state": "relaxed", "de_polymorph_kj_per_mol_atoms": 10.1, "n_ef_per_ev_cell": 0.000, "cell": [[6.6164, 0.0348, -0.1390], [-3.1975, 5.0993, -0.1995], [-0.1667, -3.5985, 5.1565]], "species": ["Li", "Li", "Li", "Fe", "Fe", "Fe", "Fe", "O", "O", "O", "F", "F", "F", "F", "F"], "frac_coords": [[0.0564, 0.5772, 0.0263], [0.5289, 0.0072, 0.6369], [0.0061, 0.9963, 0.4936], [0.4831, 0.4902, 0.9884], [0.0036, 0.0024, 0.9710], [0.5022, 0.4604, 0.4682], [0.0087, 0.5178, 0.5042], [0.1835, 0.0234, 0.2413], [0.2423, 0.0066, 0.7355], [0.7593, 0.9362, 0.7168], [0.2194, 0.4943, 0.7615], [0.2587, 0.5625, 0.2596], [0.7508, 0.9967, 0.2481], [0.7430, 0.4367, 0.7199], [0.7539, 0.4923, 0.2286]]}



{"formula": "LiFe2OF3", "functional": "PBE with a Hubbard U", "state": "relaxed", "de_polymorph_kj_per_mol_atoms": 0.0, "n_ef_per_ev_cell": 0.000, "cell": [[5.1850, 0.0000, 0.0000], [0.0000, 6.2206, 0.0000], [0.0000, 0.0000, 10.4895]], "species": ["Li", "Li", "Li", "Li", "Fe", "Fe", "Fe", "Fe", "Fe", "Fe", "Fe", "Fe", "O", "O", "O", "O", "F", "F", "F", "F", "F", "F", "F", "F", "F", "F", "F", "F"], "frac_coords": [[0.9773, 0.2500, 0.4087], [0.5227, 0.2500, 0.9087], [0.4773, 0.7500, 0.0913], [0.0227, 0.7500, 0.5913], [0.0000, 0.5000, 0.0000], [0.0000, 0.0000, 0.0000], [0.0019, 0.7500, 0.2593], [0.4981, 0.7500, 0.7593], [0.5000, 0.0000, 0.5000], [0.5000, 0.5000, 0.5000], [0.5019, 0.2500, 0.2407], [0.9981, 0.2500, 0.7407], [0.8404, 0.7500, 0.0865], [0.6596, 0.7500, 0.5865], [0.3404, 0.2500, 0.4135], [0.1596, 0.2500, 0.9135], [0.7938, 0.2500, 0.5737], [0.7806, 0.4844, 0.3330], [0.7806, 0.0156, 0.3330], [0.7194, 0.4844, 0.8330], [0.7194, 0.0156, 0.8330], [0.7062, 0.2500, 0.0737], [0.2938, 0.7500, 0.9263], [0.2806, 0.5156, 0.1670], [0.2806, 0.9844, 0.1670], [0.2194, 0.9844, 0.6670], [0.2194, 0.5156, 0.6670], [0.2062, 0.7500, 0.4263]]}



{"formula": "LiFe8O14F2", "functional": "PBE with a Hubbard U", "state": "relaxed", "de_polymorph_kj_per_mol_atoms": 3.3, "n_ef_per_ev_cell": 6.079, "cell": [[5.5410, -0.0416, -0.0219], [2.3802, 6.8644, -0.0143], [2.3832, 0.4246, 6.8344]], "species": ["Li", "Fe", "Fe", "Fe", "Fe", "Fe", "Fe", "Fe", "Fe", "O", "O", "O", "O", "O", "O", "O", "O", "O", "O", "O", "O", "O", "O", "F", "F"], "frac_coords": [[0.6586, 0.9252, 0.9246], [0.4854, 0.2721, 0.7537], [0.9668, 0.4952, 0.0109], [0.4952, 0.7536, 0.7415], [0.4704, 0.2541, 0.2428], [0.9893, 0.5093, 0.5038], [0.0131, 0.0183, 0.0191], [0.4904, 0.7460, 0.2628], [0.0065, 0.0022, 0.5111], [0.3574, 0.0162, 0.8314], [0.8421, 0.0926, 0.7704], [0.1324, 0.4316, 0.7413], [0.6346, 0.6733, 0.9878], [0.6454, 0.4904, 0.6691], [0.1397, 0.2397, 0.4273], [0.8117, 0.2777, 0.0927], [0.8397, 0.7763, 0.5872], [0.3362, 0.5214, 0.3354], [0.3131, 0.3363, 0.0255], [0.3458, 0.8280, 0.5263], [0.8370, 0.5843, 0.2697], [0.1523, 0.9243, 0.2440], [0.6445, 0.9815, 0.1736], [0.6408, 0.1752, 0.4807], [0.1325, 0.7401, 0.9232]]}



{"formula": "Li4FeO3F", "functional": "PBE with a Hubbard U", "state": "relaxed", "de_polymorph_kj_per_mol_atoms": 0.4, "n_ef_per_ev_cell": 0.000, "cell": [[-2.3305, 3.4288, -3.5052], [1.7559, -3.5052, -3.7557], [-5.5035, -3.2603, 0.4698]], "species": ["Li", "Li", "Li", "Li", "Li", "Li", "Li", "Li", "Fe", "Fe", "O", "O", "O", "O", "O", "O", "F", "F"], "frac_coords": [[0.1706, 0.8417, 0.4978], [0.1583, 0.8294, 0.9978], [0.8294, 0.1583, 0.9978], [0.8417, 0.1706, 0.4978], [0.5794, 0.8848, 0.2366], [0.1152, 0.4206, 0.7366], [0.4206, 0.1152, 0.7366], [0.8848, 0.5794, 0.2366], [0.3532, 0.3532, 0.2765], [0.6468, 0.6468, 0.7765], [0.7995, 0.7995, 0.0103], [0.2005, 0.2005, 0.5103], [0.2609, 0.6747, 0.2499], [0.3253, 0.7391, 0.7499], [0.7391, 0.3253, 0.7499], [0.6747, 0.2609, 0.2499], [0.2055, 0.2055, 0.9947], [0.7945, 0.7945, 0.4947]]}



{"formula": "Li4Fe7O2F14", "functional": "PBE with a Hubbard U", "state": "relaxed", "n_ef_per_ev_cell": 0.000, "energy_ev_per_cell": -147.62, "cell": [[-3.4737, 4.7208, 1.8490], [-2.4897, -4.8575, -3.1324], [-5.2645, -3.0923, 9.0208]], "species": ["Li", "Li", "Li", "Li", "Fe", "Fe", "Fe", "Fe", "Fe", "Fe", "Fe", "O", "O", "F", "F", "F", "F", "F", "F", "F", "F", "F", "F", "F", "F", "F", "F"], "frac_coords": [[0.8409, 0.1957, 0.4417], [0.1554, 0.3273, 0.0552], [0.8552, 0.6800, 0.9504], [0.1438, 0.8103, 0.5614], [0.5342, 0.0142, 0.9895], [0.5208, 0.2720, 0.2504], [0.5152, 0.7474, 0.2428], [0.4806, 0.4778, 0.5037], [0.4931, 0.2454, 0.7496], [0.9773, 0.7303, 0.2517], [0.5054, 0.7501, 0.7478], [0.7239, 0.3958, 0.3771], [0.7318, 0.6256, 0.1387], [0.7576, 0.1329, 0.1190], [0.7116, 0.0997, 0.6352], [0.2683, 0.1053, 0.1298], [0.7429, 0.6172, 0.6288], [0.2685, 0.1184, 0.6311], [0.2658, 0.6519, 0.1189], [0.2371, 0.3797, 0.3783], [0.7412, 0.8746, 0.3746], [0.7014, 0.3596, 0.8807], [0.7192, 0.8554, 0.8811], [0.2867, 0.6298, 0.6161], [0.2821, 0.3988, 0.8662], [0.2751, 0.8763, 0.3543], [0.2647, 0.8788, 0.8759]]}